A relaxed structure of Cd5HgPb4. Source: the Alexandria database, functional PBE.

The space group is P1 (No. 1) and the conventional cell measures 5.937, 6.379 and 8.008 Å, with angles of 108.80, 96.09 and 104.70 degrees. Symmetry generates all atoms from Cd at (0.000, 0.000, 0.000), Cd at (0.166, 0.926, 0.347), Cd at (0.415, 0.796, 0.841), Cd at (0.582, 0.684, 0.164), Cd at (0.823, 0.558, 0.659), Hg at (0.992, 0.485, 0.006), Pb at (0.227, 0.476, 0.426), Pb at (0.354, 0.249, 0.775), Pb at (0.628, 0.228, 0.229) and Pb at (0.757, 0.005, 0.579).

The total energy is -1.9264 eV/atom. The crystal system is triclinic.